First-principles (SCAN) data for a crystal of Li4Mn2Cu3Sn3O16 relaxed with PBEsol, as listed in the Alexandria database.

The uncorrected formation energy comes out at -1.6614 eV per atom. For the density of states at the Fermi level, the calculation gives 5.51 states/eV per cell.

Cell: 5.9864 5.9864 9.2451 Å, 90.06 90.06 60.16°
Each line ends with the local moment (μB).
Element x y z (fractional)
O  0.1862  0.1862  0.0996  -0.01
O  0.6599  0.1775  0.0922  0.05
O  0.4825  0.4825  0.8591  0.27
O  0.5246  0.5246  0.3466  0.01
O  0.9960  0.9960  0.8058  0.19
O  0.4915  0.0492  0.8567  0.15
O  0.5261  0.9578  0.3566  0.17
O  0.8184  0.8184  0.5953  0.11
O  0.1775  0.6599  0.0922  0.05
O  0.3441  0.3441  0.6071  0.22
O  0.0013  0.0013  0.3120  0.09
O  0.9578  0.5261  0.3566  0.17
O  0.3446  0.8311  0.5927  0.10
O  0.8311  0.3446  0.5927  0.10
O  0.0492  0.4915  0.8567  0.15
O  0.6826  0.6826  0.0916  0.10
Mn  0.6719  0.6719  0.4934  -2.73
Mn  0.3468  0.3468  0.9848  -2.80
Li  0.3409  0.3409  0.3996  0.00
Li  0.8866  0.8866  0.9619  0.00
Li  0.9838  0.9838  0.5026  0.00
Li  0.6636  0.6636  0.8780  0.00
Cu  0.1800  0.6619  0.7125  0.89
Cu  0.6619  0.1800  0.7125  0.89
Cu  0.8342  0.8342  0.2225  0.86
Sn  0.3434  0.8382  0.2054  -0.02
Sn  0.1738  0.1738  0.7161  -0.03
Sn  0.8382  0.3434  0.2054  -0.02

---

First-principles (SCAN) data for a crystal of Si2BBr relaxed with PBEsol, as listed in the Alexandria database.

The uncorrected formation energy comes out at 0.5523 eV per atom. For the density of states at the Fermi level, the calculation gives 3.84 states/eV per cell.

Cell: 5.6528 6.0165 5.6528 Å, 61.98 90.00 118.02°
Element x y z (fractional)
B  0.5000  0.0000  0.5000
B  0.2500  0.5000  0.2500
Si  0.8750  0.2500  0.5133
Si  0.5133  0.7500  0.3750
Si  0.3750  0.2500  0.2367
Si  0.2367  0.7500  0.8750
Br  0.0000  0.0000  0.0000
Br  0.7500  0.5000  0.7500

---

First-principles (SCAN) data for a crystal of BaSrCu2 relaxed with PBEsol, as listed in the Alexandria database.

The formation energy comes out at 0 kJ/mol of atoms. The energy relative to the lowest polymorph listed for this composition comes out at 0 meV/atom. For the density of states at the Fermi level, the calculation gives 2.28 states/eV per cell.

Cell: 4.4002 4.3848 6.4131 Å, 90.00 110.06 90.00°
Element x y z (fractional)
Cu  0.6900  0.5000  0.3799
Cu  0.7887  0.0000  0.5774
Sr  0.1108  0.0000  0.2217
Ba  0.3861  0.5000  0.7721

---

First-principles (SCAN) data for a crystal of RuPt2Rh relaxed with PBEsol, as listed in the Alexandria database.

The formation energy comes out at -1 kJ/mol of atoms. The energy relative to the lowest polymorph listed for this composition comes out at 39 meV/atom. For the density of states at the Fermi level, the calculation gives 4.54 states/eV per cell.

Cell: 2.7122 3.8472 5.4139 Å, 90.00 90.00 90.00°
Element x y z (fractional)
Ru  0.5000  0.5000  0.5000
Pt  0.0000  0.0000  0.2536
Pt  0.0000  0.0000  0.7464
Rh  0.5000  0.5000  0.0000

---

First-principles (SCAN) data for a crystal of KZnRh relaxed with PBEsol, as listed in the Alexandria database.

The formation energy comes out at 3 kJ/mol of atoms. For the density of states at the Fermi level, the calculation gives 0.59 states/eV per cell.

Cell: 3.3658 3.3658 6.1805 Å, 105.80 105.80 90.00°
Element x y z (fractional)
Zn  0.2741  0.2741  0.5483
K  0.0023  0.0023  0.0045
Rh  0.7236  0.7236  0.4472

---

First-principles (SCAN) data for a crystal of CsSmNb6Br18 relaxed with PBEsol, as listed in the Alexandria database.

The uncorrected formation energy comes out at -1.2723 eV per atom.

Cell: 9.6998 9.6998 18.0858 Å, 90.00 90.00 120.00°
Element x y z (fractional)
Br  0.9577  0.7675  0.1619
Br  0.5546  0.6300  0.1602
Br  0.9246  0.3700  0.6602
Br  0.4454  0.3700  0.8398
Br  0.1902  0.2325  0.6619
Br  0.1902  0.9577  0.8381
Br  0.5784  0.8538  0.9997
Br  0.6300  0.0754  0.8398
Br  0.1462  0.7245  0.9997
Br  0.3700  0.9246  0.1602
Br  0.8098  0.7675  0.3381
Br  0.2755  0.8538  0.5003
Br  0.3700  0.4454  0.3398
Br  0.2325  0.0423  0.3381
Br  0.9577  0.1902  0.3381
Br  0.7245  0.1462  0.4997
Br  0.2325  0.1902  0.1619
Br  0.7675  0.8098  0.8381
Br  0.1462  0.4216  0.5003
Br  0.9246  0.5546  0.8398
Br  0.4454  0.0754  0.6602
Br  0.7245  0.5784  0.0003
Br  0.5546  0.9246  0.3398
Br  0.7675  0.9577  0.6619
Br  0.0423  0.8098  0.6619
Br  0.0754  0.4454  0.1602
Br  0.4216  0.2755  0.4997
Br  0.5784  0.7245  0.5003
Br  0.8098  0.0423  0.1619
Br  0.8538  0.5784  0.4997
Br  0.0754  0.6300  0.3398
Br  0.2755  0.4216  0.9997
Br  0.8538  0.2755  0.0003
Br  0.6300  0.5546  0.6602
Br  0.0423  0.2325  0.8381
Br  0.4216  0.1462  0.0003
Nb  0.0355  0.8460  0.4339
Nb  0.9645  0.1540  0.5661
Nb  0.1895  0.0355  0.5661
Nb  0.9645  0.8105  0.9339
Nb  0.8105  0.9645  0.4339
Nb  0.8105  0.8460  0.0661
Nb  0.8460  0.0355  0.9339
Nb  0.1540  0.1895  0.4339
Nb  0.0355  0.1895  0.0661
Nb  0.1540  0.9645  0.0661
Nb  0.1895  0.1540  0.9339
Nb  0.8460  0.8105  0.5661
Sm  0.3333  0.6667  0.2500
Sm  0.6667  0.3333  0.7500
Cs  0.6667  0.3333  0.2500
Cs  0.3333  0.6667  0.7500

---

What did we get for total magnetic moment? Answer: 0.04 0.00 0.00 0.00 0.00 0.00 μB per atom, in the order shown.